[1]
A crystal of Co2PH2 relaxed with PBEsol, computed with SCAN.

```
data_Co2PH2
_chemical_formula_sum 'Co2 P1 H2'
_cell_length_a 2.756
_cell_length_b 2.756
_cell_length_c 5.122
_cell_angle_alpha 105.61
_cell_angle_beta 105.61
_cell_angle_gamma 90.00
_symmetry_space_group_name_H-M 'P 1'
_symmetry_Int_Tables_number 1
_symmetry_space_group_name_Hall 'P 1'
loop_
_atom_site_label
_atom_site_type_symbol
_atom_site_fract_x
_atom_site_fract_y
_atom_site_fract_z
_atom_site_occupancy
Co1 Co 0.366 0.366 0.732 1
Co2 Co 0.634 0.634 0.268 1
P1 P 0.000 0.000 0.000 1
H1 H 0.750 0.250 0.500 1
H2 H 0.250 0.750 0.500 1
```

Space group: No. 139
VASP energy (eV per cell): -51.54
N(E_F) (states/eV/atom): 0.439

[2]
A crystal of AgSnF2 relaxed with PBEsol, computed with SCAN.

```
data_AgSnF2
_chemical_formula_sum 'Ag1 Sn1 F2'
_cell_length_a 4.403
_cell_length_b 4.403
_cell_length_c 4.403
_cell_angle_alpha 60.00
_cell_angle_beta 60.00
_cell_angle_gamma 60.00
_symmetry_space_group_name_H-M 'P 1'
_symmetry_Int_Tables_number 1
_symmetry_space_group_name_Hall 'P 1'
loop_
_atom_site_label
_atom_site_type_symbol
_atom_site_fract_x
_atom_site_fract_y
_atom_site_fract_z
_atom_site_occupancy
F1 F 0.750 0.750 0.750 1
F2 F 0.250 0.250 0.250 1
Ag1 Ag 0.000 0.000 0.000 1
Sn1 Sn 0.500 0.500 0.500 1
```

Space group: No. 225
Formation energy from raw total energies (eV/atom): -1.050
N(E_F) (states/eV/atom): 0.835

[3]
A crystal of LiGaSn2Br relaxed with PBEsol, computed with SCAN.

```
data_LiGaSn2Br
_chemical_formula_sum 'Li1 Ga1 Sn2 Br1'
_cell_length_a 5.444
_cell_length_b 5.555
_cell_length_c 5.555
_cell_angle_alpha 90.00
_cell_angle_beta 90.00
_cell_angle_gamma 90.00
_symmetry_space_group_name_H-M 'P 1'
_symmetry_Int_Tables_number 1
_symmetry_space_group_name_Hall 'P 1'
loop_
_atom_site_label
_atom_site_type_symbol
_atom_site_fract_x
_atom_site_fract_y
_atom_site_fract_z
_atom_site_occupancy
Br1 Br 0.000 0.000 0.000 1
Li1 Li 0.500 0.500 0.500 1
Sn1 Sn 0.000 0.000 0.500 1
Sn2 Sn 0.000 0.500 0.000 1
Ga1 Ga 0.500 0.000 0.000 1
```

Space group: No. 123
Formation energy from raw total energies (eV/atom): 0.534
N(E_F) (states/eV/atom): 0.613

[4]
A crystal of YBeW2 relaxed with PBEsol, computed with SCAN.

```
data_YBeW2
_chemical_formula_sum 'Y1 Be1 W2'
_cell_length_a 2.870
_cell_length_b 2.870
_cell_length_c 9.401
_cell_angle_alpha 81.22
_cell_angle_beta 81.22
_cell_angle_gamma 60.00
_symmetry_space_group_name_H-M 'P 1'
_symmetry_Int_Tables_number 1
_symmetry_space_group_name_Hall 'P 1'
loop_
_atom_site_label
_atom_site_type_symbol
_atom_site_fract_x
_atom_site_fract_y
_atom_site_fract_z
_atom_site_occupancy
Y1 Y 0.508 0.508 0.476 1
W1 W 0.742 0.742 0.773 1
W2 W 0.992 0.992 0.025 1
Be1 Be 0.258 0.258 0.227 1
```

Space group: No. 160
Formation energy from the elements (eV/atom): 0.780
N(E_F) (states/eV/atom): 0.689

[5]
A crystal of MgAgBi2I relaxed with PBEsol, computed with SCAN.

```
data_MgAgBi2I
_chemical_formula_sum 'Mg1 Ag1 Bi2 I1'
_cell_length_a 4.982
_cell_length_b 5.582
_cell_length_c 5.582
_cell_angle_alpha 90.00
_cell_angle_beta 90.00
_cell_angle_gamma 90.00
_symmetry_space_group_name_H-M 'P 1'
_symmetry_Int_Tables_number 1
_symmetry_space_group_name_Hall 'P 1'
loop_
_atom_site_label
_atom_site_type_symbol
_atom_site_fract_x
_atom_site_fract_y
_atom_site_fract_z
_atom_site_occupancy
Mg1 Mg 0.000 0.000 0.000 1
Bi1 Bi 0.000 0.500 0.000 1
Bi2 Bi 0.000 0.000 0.500 1
Ag1 Ag 0.500 0.000 0.000 1
I1 I 0.500 0.500 0.500 1
```

Space group: No. 123
Formation energy from raw total energies (eV/atom): 0.539
N(E_F) (states/eV/atom): 0.877

[6]
A crystal of NaMg2WO relaxed with PBEsol, computed with SCAN.

```
data_NaMg2WO
_chemical_formula_sum 'Na1 Mg2 W1 O1'
_cell_length_a 3.779
_cell_length_b 5.572
_cell_length_c 5.572
_cell_angle_alpha 90.00
_cell_angle_beta 90.00
_cell_angle_gamma 90.00
_symmetry_space_group_name_H-M 'P 1'
_symmetry_Int_Tables_number 1
_symmetry_space_group_name_Hall 'P 1'
loop_
_atom_site_label
_atom_site_type_symbol
_atom_site_fract_x
_atom_site_fract_y
_atom_site_fract_z
_atom_site_occupancy
Na1 Na 0.500 0.500 0.500 1
W1 W 0.000 0.000 0.000 1
Mg1 Mg 0.000 0.500 0.000 1
Mg2 Mg 0.000 0.000 0.500 1
O1 O 0.500 0.000 0.000 1
```

Space group: No. 123
Formation energy from raw total energies (eV/atom): 0.079
N(E_F) (states/eV/atom): 0.379

[7]
A crystal of LaTeSe2I relaxed with PBEsol, computed with SCAN.

```
data_LaTeSe2I
_chemical_formula_sum 'La1 Te1 Se2 I1'
_cell_length_a 5.491
_cell_length_b 5.491
_cell_length_c 6.468
_cell_angle_alpha 90.00
_cell_angle_beta 90.00
_cell_angle_gamma 90.00
_symmetry_space_group_name_H-M 'P 1'
_symmetry_Int_Tables_number 1
_symmetry_space_group_name_Hall 'P 1'
loop_
_atom_site_label
_atom_site_type_symbol
_atom_site_fract_x
_atom_site_fract_y
_atom_site_fract_z
_atom_site_occupancy
I1 I 0.500 0.500 0.500 1
La1 La 0.000 0.000 0.000 1
Se1 Se 0.500 0.000 0.000 1
Se2 Se 0.000 0.500 0.000 1
Te1 Te 0.000 0.000 0.500 1
```

Space group: No. 123
Formation energy from raw total energies (eV/atom): -0.245
N(E_F) (states/eV/atom): 1.083

[8]
A crystal of LiScMo2 relaxed with PBEsol, computed with SCAN.

```
data_LiScMo2
_chemical_formula_sum 'Li1 Sc1 Mo2'
_cell_length_a 2.725
_cell_length_b 4.364
_cell_length_c 5.672
_cell_angle_alpha 90.00
_cell_angle_beta 100.77
_cell_angle_gamma 90.00
_symmetry_space_group_name_H-M 'P 1'
_symmetry_Int_Tables_number 1
_symmetry_space_group_name_Hall 'P 1'
loop_
_atom_site_label
_atom_site_type_symbol
_atom_site_fract_x
_atom_site_fract_y
_atom_site_fract_z
_atom_site_occupancy
Sc1 Sc 0.523 0.000 0.493 1
Mo1 Mo 0.972 0.000 0.025 1
Mo2 Mo 0.786 0.500 0.219 1
Li1 Li 0.218 0.500 0.763 1
```

Space group: No. 6
Formation energy from the elements (eV/atom): 0.264
N(E_F) (states/eV/atom): 0.635
ΔE to the lowest computed polymorph (meV per atom): 0

[9]
A crystal of ZrFe2W relaxed with PBEsol, computed with SCAN.

```
data_ZrFe2W
_chemical_formula_sum 'Zr1 Fe2 W1'
_cell_length_a 2.723
_cell_length_b 2.723
_cell_length_c 8.030
_cell_angle_alpha 90.00
_cell_angle_beta 90.00
_cell_angle_gamma 105.98
_symmetry_space_group_name_H-M 'P 1'
_symmetry_Int_Tables_number 1
_symmetry_space_group_name_Hall 'P 1'
loop_
_atom_site_label
_atom_site_type_symbol
_atom_site_fract_x
_atom_site_fract_y
_atom_site_fract_z
_atom_site_occupancy
Zr1 Zr 0.500 0.500 0.000 1
Fe1 Fe 0.000 0.000 0.735 1
Fe2 Fe 0.000 0.000 0.265 1
W1 W 0.500 0.500 0.500 1
```

Space group: No. 65
Formation energy from the elements (eV/atom): 0.249
N(E_F) (states/eV/atom): 0.779

[10]
A crystal of SrRe2Tc relaxed with PBEsol, computed with SCAN.

```
data_SrRe2Tc
_chemical_formula_sum 'Sr1 Re2 Tc1'
_cell_length_a 2.624
_cell_length_b 5.415
_cell_length_c 5.535
_cell_angle_alpha 119.28
_cell_angle_beta 90.00
_cell_angle_gamma 90.00
_symmetry_space_group_name_H-M 'P 1'
_symmetry_Int_Tables_number 1
_symmetry_space_group_name_Hall 'P 1'
loop_
_atom_site_label
_atom_site_type_symbol
_atom_site_fract_x
_atom_site_fract_y
_atom_site_fract_z
_atom_site_occupancy
Re1 Re 0.000 0.500 0.500 1
Re2 Re 0.000 0.000 0.500 1
Tc1 Tc 0.500 0.500 0.000 1
Sr1 Sr 0.500 0.000 0.000 1
```

Space group: No. 65
Formation energy from the elements (eV/atom): 1.201
N(E_F) (states/eV/atom): 1.085
ΔE to the lowest computed polymorph (meV per atom): 468

[11]
A crystal of B3SbPt relaxed with PBEsol, computed with SCAN.

```
data_B3SbPt
_chemical_formula_sum 'B3 Sb1 Pt1'
_cell_length_a 4.351
_cell_length_b 4.351
_cell_length_c 4.351
_cell_angle_alpha 90.00
_cell_angle_beta 90.00
_cell_angle_gamma 90.00
_symmetry_space_group_name_H-M 'P 1'
_symmetry_Int_Tables_number 1
_symmetry_space_group_name_Hall 'P 1'
loop_
_atom_site_label
_atom_site_type_symbol
_atom_site_fract_x
_atom_site_fract_y
_atom_site_fract_z
_atom_site_occupancy
B1 B 0.000 0.500 0.000 1
B2 B 0.500 0.000 0.000 1
B3 B 0.000 0.000 0.500 1
Sb1 Sb 0.000 0.000 0.000 1
Pt1 Pt 0.500 0.500 0.500 1
```

Space group: No. 221
Formation energy from raw total energies (eV/atom): 2.460
N(E_F) (states/eV/atom): 0.500

[12]
A crystal of InSbPt2Au relaxed with PBEsol, computed with SCAN.

```
data_InSbPt2Au
_chemical_formula_sum 'In1 Sb1 Pt2 Au1'
_cell_length_a 4.903
_cell_length_b 4.903
_cell_length_c 4.923
_cell_angle_alpha 90.00
_cell_angle_beta 90.00
_cell_angle_gamma 90.00
_symmetry_space_group_name_H-M 'P 1'
_symmetry_Int_Tables_number 1
_symmetry_space_group_name_Hall 'P 1'
loop_
_atom_site_label
_atom_site_type_symbol
_atom_site_fract_x
_atom_site_fract_y
_atom_site_fract_z
_atom_site_occupancy
In1 In 0.000 0.000 0.000 1
Sb1 Sb 0.500 0.500 0.500 1
Pt1 Pt 0.500 0.000 0.000 1
Pt2 Pt 0.000 0.500 0.000 1
Au1 Au 0.000 0.000 0.500 1
```

Space group: No. 123
Formation energy from raw total energies (eV/atom): 0.857
N(E_F) (states/eV/atom): 0.562

[13]
A crystal of Y2Ni2Hg relaxed with PBEsol, computed with SCAN.

```
data_Y2Ni2Hg
_chemical_formula_sum 'Y2 Ni2 Hg1'
_cell_length_a 3.430
_cell_length_b 3.430
_cell_length_c 8.816
_cell_angle_alpha 101.22
_cell_angle_beta 101.22
_cell_angle_gamma 90.00
_symmetry_space_group_name_H-M 'P 1'
_symmetry_Int_Tables_number 1
_symmetry_space_group_name_Hall 'P 1'
loop_
_atom_site_label
_atom_site_type_symbol
_atom_site_fract_x
_atom_site_fract_y
_atom_site_fract_z
_atom_site_occupancy
Ni1 Ni 0.750 0.250 0.500 1
Ni2 Ni 0.250 0.750 0.500 1
Y1 Y 0.624 0.624 0.247 1
Y2 Y 0.376 0.376 0.753 1
Hg1 Hg 0.000 0.000 0.000 1
```

Space group: No. 139
Formation energy from the elements (eV/atom): -0.316
N(E_F) (states/eV/atom): 0.747